# Ac5AlAu4 (PBE-GGA, optimized geometry)
# - spin magnetization (μB per formula unit) = 0.00
# - energy of formation (meV/atom) = -664
data_Ac5AlAu4
_chemical_formula_sum 'Ac5 Al1 Au4'
_symmetry_space_group_name_H-M 'P 1'
_symmetry_Int_Tables_number 1
_cell_length_a 3.9155
_cell_length_b 3.9155
_cell_length_c 19.6351
_cell_angle_alpha 90.00
_cell_angle_beta 90.00
_cell_angle_gamma 90.00
loop_
_symmetry_equiv_pos_as_xyz
'x,y,z'
loop_
_atom_site_label
_atom_site_type_symbol
_atom_site_fract_x
_atom_site_fract_y
_atom_site_fract_z
Ac1 Ac 0.0000 0.0000 0.0000
Ac2 Ac 0.0000 0.0000 0.1989
Ac3 Ac 0.0000 0.0000 0.3973
Ac4 Ac 0.0000 0.0000 0.6027
Ac5 Ac 0.0000 0.0000 0.8011
Al1 Al 0.5000 0.5000 0.5000
Au1 Au 0.5000 0.5000 0.0991
Au2 Au 0.5000 0.5000 0.2990
Au3 Au 0.5000 0.5000 0.7010
Au4 Au 0.5000 0.5000 0.9009


# Ac2Al3Au (PBE-GGA, optimized geometry)
# - spin magnetization (μB per formula unit) = 0.00
# - energy of formation (meV/atom) = -522
data_Ac2Al3Au
_chemical_formula_sum 'Ac4 Al6 Au2'
_symmetry_space_group_name_H-M 'P 1'
_symmetry_Int_Tables_number 1
_cell_length_a 9.1486
_cell_length_b 9.1255
_cell_length_c 6.4373
_cell_angle_alpha 69.57
_cell_angle_beta 69.18
_cell_angle_gamma 41.25
loop_
_symmetry_equiv_pos_as_xyz
'x,y,z'
loop_
_atom_site_label
_atom_site_type_symbol
_atom_site_fract_x
_atom_site_fract_y
_atom_site_fract_z
Ac1 Ac 0.2410 0.7590 0.7590
Ac2 Ac 0.2500 0.2500 0.2500
Ac3 Ac 0.7500 0.7500 0.7500
Ac4 Ac 0.7590 0.2410 0.2410
Al1 Al 0.1703 0.6639 0.3361
Al2 Al 0.3347 0.3347 0.6653
Al3 Al 0.3361 0.8297 0.1703
Al4 Al 0.6639 0.1703 0.8297
Al5 Al 0.6653 0.6653 0.3347
Al6 Al 0.8297 0.3361 0.6639
Au1 Au 0.1679 0.1679 0.8321
Au2 Au 0.8321 0.8321 0.1679


# Ac3Al4Au4 (PBE-GGA, optimized geometry)
# - spin magnetization (μB per formula unit) = 0.00
# - energy of formation (meV/atom) = -719
data_Ac3Al4Au4
_chemical_formula_sum 'Ac3 Al4 Au4'
_symmetry_space_group_name_H-M 'P 1'
_symmetry_Int_Tables_number 1
_cell_length_a 4.4503
_cell_length_b 4.4953
_cell_length_c 13.9600
_cell_angle_alpha 99.19
_cell_angle_beta 99.15
_cell_angle_gamma 90.05
loop_
_symmetry_equiv_pos_as_xyz
'x,y,z'
loop_
_atom_site_label
_atom_site_type_symbol
_atom_site_fract_x
_atom_site_fract_y
_atom_site_fract_z
Ac1 Ac 0.0000 0.0000 0.0000
Ac2 Ac 0.1500 0.6503 0.3002
Ac3 Ac 0.8500 0.3497 0.6998
Al1 Al 0.2498 0.2508 0.5000
Al2 Al 0.3999 0.8988 0.7976
Al3 Al 0.6001 0.1012 0.2024
Al4 Al 0.7502 0.7492 0.5000
Au1 Au 0.3026 0.8030 0.6050
Au2 Au 0.4471 0.4464 0.8933
Au3 Au 0.5529 0.5536 0.1067
Au4 Au 0.6974 0.1970 0.3950


| no. | DOS at the Fermi energy (states/eV per cell) |
| --- | --- |
| 1 | 6.102 |
| 2 | 12.113 |
| 3 | 7.162 |